# DyTmCr2O8, relaxed, DFT GGA+U
# Total energy in eV/atom: -7.648
# D(E_F) in states/eV per atom: 0.10
data_DyTmCr2O8
_chemical_formula_sum 'Dy1 Tm1 Cr2 O8'
_space_group_name_H-M_alt 'P 1'
_space_group_IT_number 1
_cell_length_a 5.9567
_cell_length_b 5.9567
_cell_length_c 5.9567
_cell_angle_alpha 106.05
_cell_angle_beta 106.05
_cell_angle_gamma 116.56
loop_
_space_group_symop_operation_xyz
'x,y,z'
loop_
_atom_site_label
_atom_site_type_symbol
_atom_site_fract_x
_atom_site_fract_y
_atom_site_fract_z
_atom_site_occupancy
Dy1 Dy 0.2500 0.7500 0.5000 1
Tm1 Tm 0.0000 0.0000 0.0000 1
Cr1 Cr 0.7500 0.2500 0.5000 1
Cr2 Cr 0.5000 0.5000 0.0000 1
O1 O 0.3894 0.0756 0.3137 1
O2 O 0.3228 0.5064 0.1836 1
O3 O 0.3228 0.1391 0.8164 1
O4 O 0.7619 0.0756 0.6863 1
O5 O 0.8609 0.6772 0.1836 1
O6 O 0.9244 0.2381 0.3137 1
O7 O 0.9244 0.6106 0.6863 1
O8 O 0.4936 0.6772 0.8164 1